Entry 1:
# FeOsAu2, relaxed, DFT PBE
data_FeOsAu2
_space_group_name_H-M_alt 'P 1'
_space_group_IT_number 1
_space_group_name_Hall 'P 1'
_cell_length_a 2.741
_cell_length_b 2.741
_cell_length_c 9.635
_cell_angle_alpha 90.00
_cell_angle_beta 90.00
_cell_angle_gamma 118.02
loop_
_atom_site_label
_atom_site_fract_x
_atom_site_fract_y
_atom_site_fract_z
Fe1 0.000 0.000 0.000
Os1 0.000 0.000 0.500
Au1 0.500 0.500 0.239
Au2 0.500 0.500 0.761
# V: 63.9 Å³ per cell
# Energy above the lowest structure with this stoichiometry: 0.302 eV/atom
# Uncorrected energy: -6.01 eV/atom


Entry 2:
# Zn2RuBr, relaxed, DFT PBE
data_Zn2RuBr
_space_group_name_H-M_alt 'P 1'
_space_group_IT_number 1
_space_group_name_Hall 'P 1'
_cell_length_a 4.447
_cell_length_b 4.447
_cell_length_c 3.338
_cell_angle_alpha 90.00
_cell_angle_beta 90.00
_cell_angle_gamma 90.00
loop_
_atom_site_label
_atom_site_fract_x
_atom_site_fract_y
_atom_site_fract_z
Zn1 0.000 0.500 0.000
Zn2 0.500 0.000 0.000
Ru1 0.000 0.000 0.500
Br1 0.500 0.500 0.500
# V: 66.0 Å³ per cell
# Uncorrected formation energy: 0.399 eV/atom
# Energy above the lowest structure with this stoichiometry: 0.280 eV/atom
# Uncorrected energy: -2.97 eV/atom


Entry 3:
# CePmBiBr, relaxed, DFT PBE
data_CePmBiBr
_space_group_name_H-M_alt 'P 1'
_space_group_IT_number 1
_space_group_name_Hall 'P 1'
_cell_length_a 5.461
_cell_length_b 5.461
_cell_length_c 5.461
_cell_angle_alpha 60.00
_cell_angle_beta 60.00
_cell_angle_gamma 60.00
loop_
_atom_site_label
_atom_site_fract_x
_atom_site_fract_y
_atom_site_fract_z
Ce1 0.000 0.000 0.000
Pm1 0.500 0.500 0.500
Bi1 0.250 0.250 0.250
Br1 0.750 0.750 0.750
# V: 115.2 Å³ per cell
# Uncorrected formation energy: -0.906 eV/atom
# Uncorrected energy: -4.97 eV/atom


Entry 4:
# La4GeSbSe2, relaxed, DFT PBE
data_La4GeSbSe2
_space_group_name_H-M_alt 'P 1'
_space_group_IT_number 1
_space_group_name_Hall 'P 1'
_cell_length_a 7.638
_cell_length_b 4.446
_cell_length_c 7.728
_cell_angle_alpha 90.00
_cell_angle_beta 109.56
_cell_angle_gamma 90.00
loop_
_atom_site_label
_atom_site_fract_x
_atom_site_fract_y
_atom_site_fract_z
La1 0.246 0.000 0.240
La2 0.252 0.500 0.760
La3 0.748 0.500 0.240
La4 0.754 0.000 0.760
Ge1 0.000 0.500 0.000
Sb1 0.000 0.000 0.500
Se1 0.500 0.000 0.000
Se2 0.500 0.500 0.500
# V: 247.3 Å³ per cell
# Uncorrected formation energy: -1.558 eV/atom
# Uncorrected energy: -5.99 eV/atom


The lowest V belongs to which entry? FeOsAu2